This record from Alexandria describes a relaxed Cs6Rb3Au2O crystal. The functional is PBE-GGA.

Values from the calculation:
The calculation puts the total magnetic moment at 0.00 μB/atom. The value obtained for the energy relative to the elements, uncorrected is -4.36 eV/f.u.

CIF file:
```
data_Cs6Rb3Au2O
_chemical_formula_sum 'Cs12 Rb6 Au4 O2'
_symmetry_space_group_name_H-M 'C 1 2/m 1'
_symmetry_Int_Tables_number 12
_cell_length_a 8.737
_cell_length_b 15.131
_cell_length_c 12.846
_cell_angle_alpha 90.00
_cell_angle_beta 103.14
_cell_angle_gamma 90.00
loop_
_symmetry_equiv_pos_as_xyz
'x,y,z'
'-x,-y,-z'
'-x,y,-z'
'x,-y,z'
'x+1/2,y+1/2,z'
'-x+1/2,-y+1/2,-z'
'-x+1/2,y+1/2,-z'
'x+1/2,-y+1/2,z'
loop_
_atom_site_label
_atom_site_fract_x
_atom_site_fract_y
_atom_site_fract_z
Cs1 0.184 0.139 0.137
Cs2 0.231 0.000 0.863
Rb1 0.000 0.170 0.500
Rb2 0.000 0.500 0.500
Au1 0.000 0.334 0.000
O1 0.000 0.000 0.000
```

***

This record from Alexandria describes a relaxed Ba3TlSb crystal. The functional is PBE-GGA.

Values from the calculation:
The calculation puts the total magnetic moment at 0.37 μB/atom. The value obtained for the energy relative to the elements, uncorrected is -1.87 eV/f.u. The calculation puts the energy relative to the lowest polymorph listed for this composition at 0.247 eV/atom.

CIF file:
```
data_Ba3TlSb
_chemical_formula_sum 'Ba3 Tl1 Sb1'
_symmetry_space_group_name_H-M 'P m -3 m'
_symmetry_Int_Tables_number 221
_symmetry_space_group_name_Hall '-P 4 2 3'
_cell_length_a 6.663
_cell_length_b 6.663
_cell_length_c 6.663
_cell_angle_alpha 90.00
_cell_angle_beta 90.00
_cell_angle_gamma 90.00
loop_
_atom_site_label
_atom_site_fract_x
_atom_site_fract_y
_atom_site_fract_z
Ba1 0.000 0.000 0.500
Tl1 0.500 0.500 0.500
Sb1 0.000 0.000 0.000
```

***

This record from Alexandria describes a relaxed Zn2SbOs crystal. The functional is PBE-GGA.

Values from the calculation:
The calculation puts the total magnetic moment at 0.00 μB/atom. The value obtained for the energy relative to the elements, uncorrected is 2.03 eV/f.u.

CIF file:
```
data_Zn2SbOs
_chemical_formula_sum 'Zn4 Sb2 Os2'
_symmetry_space_group_name_H-M 'C m m m'
_symmetry_Int_Tables_number 65
_symmetry_space_group_name_Hall '-C 2 2'
_cell_length_a 3.005
_cell_length_b 5.028
_cell_length_c 9.622
_cell_angle_alpha 90.00
_cell_angle_beta 90.00
_cell_angle_gamma 90.00
loop_
_atom_site_label
_atom_site_fract_x
_atom_site_fract_y
_atom_site_fract_z
Zn1 0.000 0.000 0.217
Sb1 0.000 0.500 0.500
Os1 0.000 0.500 0.000
```

***

This record from Alexandria describes a relaxed Pr8SbIr3I4 crystal. The functional is PBE-GGA.

Values from the calculation:
The calculation puts the total magnetic moment at 0.00 μB/atom. The value obtained for the energy relative to the elements, uncorrected is -15.17 eV/f.u.

CIF file:
```
data_Pr8SbIr3I4
_chemical_formula_sum 'Pr24 Sb3 Ir9 I12'
_symmetry_space_group_name_H-M 'R -3 m'
_symmetry_Int_Tables_number 166
_symmetry_space_group_name_Hall '-R 3 2"'
_cell_length_a 8.7308
_cell_length_b 8.7308
_cell_length_c 24.2510
_cell_angle_alpha 90.00
_cell_angle_beta 90.00
_cell_angle_gamma 120.00
loop_
_atom_site_label
_atom_site_fract_x
_atom_site_fract_y
_atom_site_fract_z
Pr1 0.0000 0.0000 0.2285
Pr2 0.0261 0.5130 0.7700
Sb1 0.0000 0.0000 0.5000
Ir1 0.0000 0.5000 0.5000
I1 0.0000 0.0000 0.0000
I2 0.0000 0.5000 0.0000
```

***

This record from Alexandria describes a relaxed Si2AsRh crystal. The functional is PBE-GGA.

Values from the calculation:
The calculation puts the total magnetic moment at 0.00 μB/atom. The value obtained for the energy relative to the elements, uncorrected is 0.66 eV/f.u. The calculation puts the energy relative to the lowest polymorph listed for this composition at 0.377 eV/atom.

CIF file:
```
data_Si2AsRh
_chemical_formula_sum 'Si4 As2 Rh2'
_symmetry_space_group_name_H-M 'I 4/m m m'
_symmetry_Int_Tables_number 139
_symmetry_space_group_name_Hall '-I 4 2'
_cell_length_a 4.081
_cell_length_b 4.081
_cell_length_c 7.238
_cell_angle_alpha 90.00
_cell_angle_beta 90.00
_cell_angle_gamma 90.00
loop_
_atom_site_label
_atom_site_fract_x
_atom_site_fract_y
_atom_site_fract_z
Si1 0.000 0.500 0.250
As1 0.000 0.000 0.000
Rh1 0.000 0.000 0.500
```

***

This record from Alexandria describes a relaxed NbCrHgOs2 crystal. The functional is PBE-GGA.

Values from the calculation:
The calculation puts the total magnetic moment at 0.02 μB/atom. The value obtained for the formation energy is 1.520 eV/atom.

CIF file:
```
data_NbCrHgOs2
_chemical_formula_sum 'Nb1 Cr1 Hg1 Os2'
_symmetry_space_group_name_H-M 'P 4/m m m'
_symmetry_Int_Tables_number 123
_symmetry_space_group_name_Hall '-P 4 2'
_cell_length_a 4.418
_cell_length_b 4.418
_cell_length_c 4.833
_cell_angle_alpha 90.00
_cell_angle_beta 90.00
_cell_angle_gamma 90.00
loop_
_atom_site_label
_atom_site_fract_x
_atom_site_fract_y
_atom_site_fract_z
Nb1 0.000 0.000 0.000
Cr1 0.500 0.500 0.500
Hg1 0.500 0.500 0.000
Os1 0.000 0.500 0.500
```